# 1
Material: Lu2SnBi
Method: DFT, PBE-GGA
State: relaxed

Cell lengths 3.9848, 3.9848, 6.7932 Å; angles 90.00, 90.00, 90.00 degrees
Closest atoms and distances in Å follow each position.
Fractional positions:
Lu1 0.0000 0.0000 0.2454  4 Sn 3.27, 4 Bi 3.31, 2 Lu 3.33-3.46
Lu2 0.0000 0.0000 0.7546  4 Sn 3.27, 4 Bi 3.31, 2 Lu 3.33-3.46
Sn1 0.5000 0.5000 0.0000  8 Lu 3.27, 2 Bi 3.40
Bi1 0.5000 0.5000 0.5000  8 Lu 3.31, 2 Sn 3.40

Output
SG: P4/mmm, No. 123
Offset from the most stable computed form, eV per atom: 0.090
Formation enthalpy at 0 K, eV/atom: -0.482
Crystal system: tetragonal


# 2
Material: Np2RhS6
Method: DFT, PBE-GGA
State: relaxed

Cell lengths 5.9687, 6.9489, 10.2367 Å; angles 90.00, 124.27, 90.00 degrees
Closest atoms and distances in Å follow each position.
Fractional positions:
Np1 0.1925 0.1252 0.2487  7 S 2.62-2.87
Np2 0.1925 0.3748 0.7487  7 S 2.62-2.87
Np3 0.8075 0.6252 0.2513  7 S 2.62-2.87
Np4 0.8075 0.8748 0.7513  7 S 2.62-2.87
Rh1 0.0000 0.0000 0.5000  6 S 2.38-2.41
Rh2 0.0000 0.5000 0.0000  6 S 2.38-2.41
S1 0.0959 0.1877 0.9443  1 Rh 2.39
S2 0.0959 0.3123 0.4443  1 Rh 2.39
S3 0.2842 0.6761 0.9435  1 Rh 2.41
S4 0.2842 0.8239 0.4435  1 Rh 2.41
S5 0.4055 0.0415 0.7566  1 Rh 2.38, 1 Np 2.62
S6 0.4055 0.4585 0.2566  1 Rh 2.38, 1 Np 2.62
S7 0.5945 0.5415 0.7434  1 Rh 2.38, 1 Np 2.62
S8 0.5945 0.9585 0.2434  1 Rh 2.38, 1 Np 2.62
S9 0.7158 0.1761 0.5565  1 Rh 2.41
S10 0.7158 0.3239 0.0565  1 Rh 2.41
S11 0.9041 0.6877 0.5557  1 Rh 2.39
S12 0.9041 0.8123 0.0557  1 Rh 2.39

Output
SG: P2_1/c, No. 14
Crystal system: monoclinic
Formation energy without anion corrections, eV/f.u.: -8.74


# 3
Material: Zr2TaPd
Method: DFT, PBE-GGA
State: relaxed

Cell lengths 10.5556, 10.5556, 10.5556 Å; angles 158.02, 158.02, 31.28 degrees
Closest atoms and distances in Å follow each position.
Fractional positions:
Zr1 0.1245 0.6250 0.9995  4 Zr 2.84-2.85, 2 Ta 2.91, 2 Pd 2.91
Zr2 0.3750 0.3745 0.4995  4 Zr 2.84-2.85, 2 Ta 2.91, 2 Pd 2.91
Zr3 0.6255 0.1250 0.0005  4 Zr 2.84-2.85, 2 Ta 2.91, 2 Pd 2.91
Zr4 0.8750 0.8755 0.5005  4 Zr 2.84-2.85, 2 Ta 2.91, 2 Pd 2.91
Ta1 0.0000 0.0000 0.0000  4 Pd 2.85, 4 Zr 2.91
Ta2 0.7500 0.2500 0.5000  4 Pd 2.85, 4 Zr 2.91
Pd1 0.2500 0.7500 0.5000  4 Ta 2.85, 4 Zr 2.91
Pd2 0.5000 0.5000 0.0000  4 Ta 2.85, 4 Zr 2.91

Output
SG: I-42d, No. 122
Offset from the most stable computed form, eV per atom: 0.710
Formation enthalpy at 0 K, eV/atom: 0.393
Crystal system: tetragonal


# 4
Material: NpH6F12
Method: DFT, PBE-GGA
State: relaxed

Cell lengths 6.4147, 6.4147, 6.4147 Å; angles 90.16, 90.16, 90.16 degrees
Closest atoms and distances in Å follow each position.
Fractional positions:
Np1 0.0000 0.0000 0.0000  6 F 2.01
H1 0.2802 0.5149 0.3248  1 F 0.97
H2 0.3248 0.2802 0.5149  1 F 0.97
H3 0.4851 0.6752 0.7198  1 F 0.97
H4 0.5149 0.3248 0.2802  1 F 0.97
H5 0.6752 0.7198 0.4851  1 F 0.97
H6 0.7198 0.4851 0.6752  1 F 0.97
F1 0.0753 0.7160 0.8919  1 Np 2.01
F2 0.1081 0.9247 0.2840  1 Np 2.01
F3 0.2100 0.3765 0.5322  1 H 0.97
F4 0.2840 0.1081 0.9247  1 Np 2.01
F5 0.3765 0.5322 0.2100  1 H 0.97
F6 0.4678 0.7900 0.6235  1 H 0.97
F7 0.5322 0.2100 0.3765  1 H 0.97
F8 0.6235 0.4678 0.7900  1 H 0.97
F9 0.7160 0.8919 0.0753  1 Np 2.01
F10 0.7900 0.6235 0.4678  1 H 0.97
F11 0.8919 0.0753 0.7160  1 Np 2.01
F12 0.9247 0.2840 0.1081  1 Np 2.01

Output
SG: R-3, No. 148
Raw total energy, eV/atom: -5.013
Crystal system: trigonal